*A*
TiSiP2Cl | PBE-GGA | optimized geometry

Unit cell a=4.537 b=4.537 c=4.594 alpha=90.00 beta=90.00 gamma=90.00
Positions (direct):
1 P 0.000 0.500 0.000
2 P 0.500 0.000 0.000
3 Si 0.000 0.000 0.000
4 Ti 0.500 0.500 0.500
5 Cl 0.000 0.000 0.500

*B*
TiSiP2Cl | PBE-GGA | optimized geometry

Unit cell a=4.799 b=4.799 c=4.601 alpha=90.00 beta=90.00 gamma=90.00
Positions (direct):
1 P 0.500 0.000 0.000
2 P 0.000 0.500 0.000
3 Ti 0.000 0.000 0.000
4 Cl 0.000 0.000 0.500
5 Si 0.500 0.500 0.500

The data favor *B*; the next most stable structure lies 16.1 kJ/mol of atoms above it.

*A*
TlSiP2Cl | PBE-GGA | optimized geometry

Unit cell a=4.500 b=4.500 c=5.939 alpha=90.00 beta=90.00 gamma=90.00
Positions (direct):
1 P 0.000 0.500 0.000
2 P 0.500 0.000 0.000
3 Cl 0.000 0.000 0.500
4 Tl 0.500 0.500 0.500
5 Si 0.000 0.000 0.000

*B*
TlSiP2Cl | PBE-GGA | optimized geometry

Unit cell a=5.124 b=5.124 c=5.233 alpha=90.00 beta=90.00 gamma=90.00
Positions (direct):
1 P 0.500 0.000 0.000
2 P 0.000 0.500 0.000
3 Tl 0.000 0.000 0.000
4 Cl 0.000 0.000 0.500
5 Si 0.500 0.500 0.500

The data favor *A*; the next most stable structure lies 94.1 kJ/mol of atoms above it.

*A*
SiPWCl2 | PBE-GGA | optimized geometry

Unit cell a=4.736 b=4.736 c=4.861 alpha=90.00 beta=90.00 gamma=90.00
Positions (direct):
1 P 0.000 0.000 0.500
2 W 0.000 0.000 0.000
3 Cl 0.500 0.000 0.000
4 Cl 0.000 0.500 0.000
5 Si 0.500 0.500 0.500

*B*
SiPWCl2 | PBE-GGA | optimized geometry

Unit cell a=4.505 b=4.505 c=5.003 alpha=90.00 beta=90.00 gamma=90.00
Positions (direct):
1 W 0.500 0.500 0.500
2 Cl 0.500 0.000 0.000
3 Cl 0.000 0.500 0.000
4 Si 0.000 0.000 0.000
5 P 0.000 0.000 0.500

The data favor *A*; the next most stable structure lies 38.2 kJ/mol of atoms above it.